(1)
6
Lattice="0.000 4.371 4.371 4.371 0.000 4.371 4.371 4.371 0.000" Properties=species:S:1:pos:R:3 comment="NdYPa4 PBE-GGA optimized geometry" dft_energy_ev_per_atom=-7.960 e_form_ev_per_atom=0.243 pbc="T T T"
Nd 0.000 0.000 0.000
Y 2.186 2.186 2.186
Pa 5.464 3.278 3.278
Pa 3.278 5.464 3.278
Pa 3.278 3.278 5.464
Pa 5.464 5.464 5.464

(2)
9
Lattice="8.479 -2.140 0.000 8.479 2.140 0.000 -3.361 0.000 8.200" Properties=species:S:1:pos:R:3 comment="Cs2TbHg2Se4 PBE-GGA optimized geometry" dft_energy_ev_per_atom=-3.309 formation_energy_uncorrected_kj_per_mol_atoms=-95.47 pbc="T T T"
Cs 1.942 0.000 0.570
Cs 11.655 0.000 7.630
Tb -1.680 0.000 4.100
Hg 3.660 0.000 3.977
Hg 9.936 0.000 4.223
Se 0.671 0.000 5.833
Se 5.713 0.000 5.812
Se 7.883 0.000 2.388
Se 12.925 0.000 2.367

(3)
4
Lattice="0.000 3.198 3.198 3.198 0.000 3.198 3.198 3.198 0.000" Properties=species:S:1:pos:R:3 comment="YB2Cl PBE-GGA optimized geometry" dft_energy_ev_per_atom=-4.216 formation_energy_uncorrected_kj_per_mol_atoms=115.82 polymorph_energy_kj_per_mol_fu=55.4 pbc="T T T"
Y 0.000 0.000 0.000
B 1.599 1.599 1.599
B 4.796 4.796 4.796
Cl 3.198 3.198 3.198

(4)
5
Lattice="4.103 0.000 0.000 0.000 4.103 0.000 0.000 0.000 4.103" Properties=species:S:1:pos:R:3 comment="AsOs3C PBE-GGA optimized geometry" dft_energy_ev_per_atom=-8.709 e_form_ev_per_atom=0.803 polymorph_energy_kj_per_mol_fu=0.0 pbc="T T T"
As 0.000 0.000 0.000
Os 0.000 2.051 2.051
Os 2.051 0.000 2.051
Os 2.051 2.051 0.000
C 2.051 2.051 2.051

(5)
16
Lattice="4.199 2.424 7.020 -4.199 2.424 7.020 0.000 -4.849 7.020" Properties=species:S:1:pos:R:3 comment="Er8Ge3Te4As PBE-GGA optimized geometry" dft_energy_ev_per_atom=-5.472 formation_energy_uncorrected_kj_per_mol_atoms=-120.46 pbc="T T T"
Er -2.120 -1.224 12.060
Er 0.000 0.000 5.049
Er 0.000 -2.448 8.999
Er -2.120 1.224 8.999
Er 2.120 -1.224 12.060
Er 0.000 2.448 12.060
Er 0.000 0.000 16.010
Er 2.120 1.224 8.999
Ge -4.199 0.000 10.529
Ge -2.100 1.212 3.510
Ge 2.100 1.212 3.510
Te 0.000 0.000 0.000
Te -2.100 -1.212 7.020
Te -2.100 1.212 14.039
Te 0.000 2.424 7.020
As 0.000 0.000 10.529

(6)
4
Lattice="-1.902 1.902 5.344 1.902 -1.902 5.344 1.902 1.902 -5.344" Properties=species:S:1:pos:R:3 comment="SmVP2 PBE-GGA optimized geometry" dft_energy_ev_per_atom=-6.883 e_form_ev_per_atom=-0.718 polymorph_energy_kj_per_mol_fu=0.0 pbc="T T T"
Sm 0.000 0.000 0.000
V 1.902 0.000 2.672
P 0.000 0.000 4.015
P 0.000 0.000 6.673

(7)
20
Lattice="10.759 0.000 0.000 0.000 10.759 0.000 0.000 0.000 3.223" Properties=species:S:1:pos:R:3 comment="Ca2In2GeRh5 PBE-GGA optimized geometry" dft_energy_ev_per_atom=-5.463 e_form_ev_per_atom=-0.378 pbc="T T T"
Ca 1.778 3.602 0.000
Ca 3.602 8.982 0.000
Ca 7.157 1.778 0.000
Ca 8.982 7.157 0.000
In 1.486 6.866 0.000
In 3.894 1.486 0.000
In 6.866 9.273 0.000
In 9.273 3.894 0.000
Ge 0.000 0.000 0.000
Ge 5.380 5.380 0.000
Rh 0.000 5.380 1.612
Rh 0.591 8.822 1.612
Rh 1.937 0.591 1.612
Rh 3.443 5.970 1.612
Rh 4.789 3.443 1.612
Rh 5.380 0.000 1.612
Rh 5.970 7.317 1.612
Rh 7.317 4.789 1.612
Rh 8.822 10.168 1.612
Rh 10.168 1.937 1.612

(8)
11
Lattice="5.439 -3.645 0.000 5.439 3.645 0.000 -2.563 0.000 8.049" Properties=species:S:1:pos:R:3 comment="Rb2HfSb2S6 PBE-GGA optimized geometry" dft_energy_ev_per_atom=-4.924 formation_energy_uncorrected_kj_per_mol_atoms=-81.31 pbc="T T T"
Rb 1.758 0.000 0.887
Rb 6.557 0.000 7.162
Hf -1.282 0.000 4.024
Sb 2.444 0.000 6.144
Sb 5.871 0.000 1.905
S 4.288 1.906 2.093
S 1.237 0.000 4.072
S 4.027 1.906 5.956
S 4.288 -1.906 2.093
S 7.078 0.000 3.977
S 4.027 -1.906 5.956

(9)
12
Lattice="3.154 -6.217 0.000 3.154 6.217 0.000 0.000 0.000 7.491" Properties=species:S:1:pos:R:3 comment="BaLiInAu3 PBE-GGA optimized geometry" dft_energy_ev_per_atom=-3.178 e_form_ev_per_atom=-0.444 pbc="T T T"
Ba 3.154 3.800 5.618
Ba 3.154 -3.800 1.873
Li 3.154 0.679 5.618
Li 3.154 -0.679 1.873
In 3.154 4.738 1.873
In 3.154 -4.738 5.618
Au 1.612 0.000 0.000
Au 1.612 0.000 3.745
Au 3.154 1.938 1.873
Au 3.154 -1.938 5.618
Au 4.696 0.000 0.000
Au 4.696 0.000 3.745

(10)
12
Lattice="4.709 0.000 0.000 -2.355 4.078 0.000 0.000 0.000 11.434" Properties=species:S:1:pos:R:3 comment="Mg3Ag2Au PBE-GGA optimized geometry" dft_energy_ev_per_atom=-2.675 e_form_ev_per_atom=-0.381 polymorph_energy_kj_per_mol_fu=0.0 pbc="T T T"
Mg 0.000 0.000 2.828
Mg 0.000 0.000 8.605
Mg 0.000 2.719 4.713
Mg 0.000 2.719 10.461
Mg 2.355 1.359 0.973
Mg 2.355 1.359 6.721
Ag 0.000 0.000 0.000
Ag 0.000 0.000 5.717
Ag 0.000 2.719 7.562
Ag 2.355 1.359 3.872
Au 0.000 2.719 1.866
Au 2.355 1.359 9.567

(11)
9
Lattice="2.267 1.309 9.227 -2.267 1.309 9.227 0.000 -2.618 9.227" Properties=species:S:1:pos:R:3 comment="Li6MgGe2 PBE-GGA optimized geometry" dft_energy_ev_per_atom=-2.738 e_form_ev_per_atom=-0.259 pbc="T T T"
Li 0.000 0.000 2.125
Li 0.000 0.000 6.091
Li 0.000 0.000 8.605
Li 0.000 0.000 19.077
Li 0.000 0.000 21.591
Li 0.000 0.000 25.557
Mg 0.000 0.000 13.841
Ge 0.000 0.000 11.232
Ge 0.000 0.000 16.450

(12)
10
Lattice="3.941 0.000 0.000 0.000 3.941 0.000 0.000 0.000 17.775" Properties=species:S:1:pos:R:3 comment="In5Sn4Pb PBE-GGA optimized geometry" dft_energy_ev_per_atom=-3.296 e_form_ev_per_atom=0.045 pbc="T T T"
In 0.000 0.000 0.000
In 0.000 0.000 3.503
In 0.000 0.000 6.962
In 0.000 0.000 10.813
In 0.000 0.000 14.272
Sn 1.971 1.971 1.736
Sn 1.971 1.971 5.255
Sn 1.971 1.971 12.520
Sn 1.971 1.971 16.039
Pb 1.971 1.971 8.887

Please write out number 8 again, unchanged.
11
Lattice="5.439 -3.645 0.000 5.439 3.645 0.000 -2.563 0.000 8.049" Properties=species:S:1:pos:R:3 comment="Rb2HfSb2S6 PBE-GGA optimized geometry" dft_energy_ev_per_atom=-4.924 formation_energy_uncorrected_kj_per_mol_atoms=-81.31 pbc="T T T"
Rb 1.758 0.000 0.887
Rb 6.557 0.000 7.162
Hf -1.282 0.000 4.024
Sb 2.444 0.000 6.144
Sb 5.871 0.000 1.905
S 4.288 1.906 2.093
S 1.237 0.000 4.072
S 4.027 1.906 5.956
S 4.288 -1.906 2.093
S 7.078 0.000 3.977
S 4.027 -1.906 5.956

Please write out number 10 again, unchanged.
12
Lattice="4.709 0.000 0.000 -2.355 4.078 0.000 0.000 0.000 11.434" Properties=species:S:1:pos:R:3 comment="Mg3Ag2Au PBE-GGA optimized geometry" dft_energy_ev_per_atom=-2.675 e_form_ev_per_atom=-0.381 polymorph_energy_kj_per_mol_fu=0.0 pbc="T T T"
Mg 0.000 0.000 2.828
Mg 0.000 0.000 8.605
Mg 0.000 2.719 4.713
Mg 0.000 2.719 10.461
Mg 2.355 1.359 0.973
Mg 2.355 1.359 6.721
Ag 0.000 0.000 0.000
Ag 0.000 0.000 5.717
Ag 0.000 2.719 7.562
Ag 2.355 1.359 3.872
Au 0.000 2.719 1.866
Au 2.355 1.359 9.567